Entry 1:
Density functional theory data (PBE-GGA) for crystalline Li2InSnCl6 at its relaxed geometry.

abc: 7.2905 7.2905 7.2905
angles: 56.30 56.30 56.30
Last column: nearest neighbours and their distance in Å.
Atoms (fractional coordinates):
Li 0.0000 0.0000 0.0000  6 Cl 2.56-2.72
Li 0.4964 0.4964 0.4964  6 Cl 2.50-2.79
In 0.1949 0.1949 0.1949  6 Cl 2.73-2.89
Sn 0.6961 0.6961 0.6961  6 Cl 2.77-2.97
Cl 0.1508 0.3653 0.7755  2 Li 2.50-2.72, 1 In 2.73
Cl 0.2762 0.8795 0.6360  2 Li 2.56-2.79, 1 Sn 2.77
Cl 0.3653 0.7755 0.1508  2 Li 2.50-2.72, 1 In 2.73
Cl 0.6360 0.2762 0.8795  2 Li 2.56-2.79, 1 Sn 2.77
Cl 0.7755 0.1508 0.3653  2 Li 2.50-2.72, 1 In 2.73
Cl 0.8795 0.6360 0.2762  2 Li 2.56-2.79, 1 Sn 2.77

## Properties
Volume, Å³ per atom: 25.06
Raw formation energy, eV/atom: -1.25
Mass density, g cm⁻³: 3.049
DOS at the Fermi energy, states/eV/f.u.: 2.42

=====

Entry 2:
Density functional theory data (PBE-GGA) for crystalline SrLiIn2Cl5 at its relaxed geometry.

abc: 9.3693 9.3693 13.8204
angles: 90.00 90.00 153.36
Last column: nearest neighbours and their distance in Å.
Atoms (fractional coordinates):
Sr 0.2014 0.7986 0.5000  6 Cl 2.89-2.96
Sr 0.7986 0.2014 0.0000  6 Cl 2.89-2.96
Li 0.4506 0.5494 0.8939  4 Cl 2.35-2.46
Li 0.5494 0.4506 0.3939  4 Cl 2.35-2.46
In 0.0892 0.9108 0.1318  5 Cl 3.17-3.23
In 0.1264 0.8736 0.7998  6 Cl 3.15-3.47
In 0.8736 0.1264 0.2998  6 Cl 3.15-3.47
In 0.9108 0.0892 0.6318  5 Cl 3.17-3.23
Cl 0.0397 0.9603 0.4784  2 Li 2.46
Cl 0.2882 0.7118 0.1384  2 Sr 2.89
Cl 0.3186 0.6814 0.8617  1 Li 2.45
Cl 0.3585 0.6415 0.4721  1 Sr 2.89, 4 In 3.23
Cl 0.4916 0.5084 0.2420  1 Li 2.35
Cl 0.5084 0.4916 0.7420  1 Li 2.35
Cl 0.6415 0.3585 0.9721  1 Sr 2.89, 4 In 3.23
Cl 0.6814 0.3186 0.3617  1 Li 2.45
Cl 0.7118 0.2882 0.6384  2 Sr 2.89
Cl 0.9603 0.0397 0.9784  2 Li 2.46

## Properties
Volume, Å³ per atom: 30.22
Raw formation energy, eV/atom: -1.57
Mass density, g cm⁻³: 3.062
DOS at the Fermi energy, states/eV/f.u.: 0.00

=====

Entry 3:
Density functional theory data (PBE-GGA) for crystalline SrLiInCl6 at its relaxed geometry.

abc: 6.6365 6.6365 12.6337
angles: 90.00 90.00 120.00
Last column: nearest neighbours and their distance in Å.
Atoms (fractional coordinates):
Sr 0.0000 0.0000 0.0000  6 Cl 2.94
Sr 0.0000 0.0000 0.5000  6 Cl 2.94
Li 0.3333 0.6667 0.2500  6 Cl 2.59
Li 0.6667 0.3333 0.7500  6 Cl 2.59
In 0.3333 0.6667 0.7500  6 Cl 2.56
In 0.6667 0.3333 0.2500  6 Cl 2.56
Cl 0.0040 0.3630 0.6354  1 In 2.56, 1 Li 2.59
Cl 0.0040 0.6410 0.8646  1 In 2.56, 1 Li 2.59
Cl 0.3590 0.3630 0.8646  1 In 2.56, 1 Li 2.59
Cl 0.3590 0.9960 0.6354  1 In 2.56, 1 Li 2.59
Cl 0.3630 0.0040 0.1354  1 In 2.56, 1 Li 2.59
Cl 0.3630 0.3590 0.3646  1 In 2.56, 1 Li 2.59
Cl 0.6370 0.6410 0.6354  1 In 2.56, 1 Li 2.59
Cl 0.6370 0.9960 0.8646  1 In 2.56, 1 Li 2.59
Cl 0.6410 0.0040 0.3646  1 In 2.56, 1 Li 2.59
Cl 0.6410 0.6370 0.1354  1 In 2.56, 1 Li 2.59
Cl 0.9960 0.3590 0.1354  1 In 2.56, 1 Li 2.59
Cl 0.9960 0.6370 0.3646  1 In 2.56, 1 Li 2.59

## Properties
Volume, Å³ per atom: 26.77
Raw formation energy, eV/atom: -1.71
Mass density, g cm⁻³: 2.909
DOS at the Fermi energy, states/eV/f.u.: 0.00

=====

Entry 4:
Density functional theory data (PBE-GGA) for crystalline SrLi2InCl8 at its relaxed geometry.

abc: 6.6722 6.6722 8.1718
angles: 90.00 90.00 120.00
Last column: nearest neighbours and their distance in Å.
Atoms (fractional coordinates):
Sr 0.0000 0.0000 0.0000  6 Cl 3.18
Li 0.3333 0.6667 0.7152  4 Cl 2.34-2.39
Li 0.6667 0.3333 0.2848  4 Cl 2.34-2.39
In 0.0000 0.0000 0.5000  6 Cl 2.54
Cl 0.0050 0.7061 0.3053  1 Li 2.39, 1 In 2.54
Cl 0.2939 0.2989 0.3053  1 Li 2.39, 1 In 2.54
Cl 0.2989 0.0050 0.6947  1 Li 2.39, 1 In 2.54
Cl 0.3333 0.6667 0.0013  1 Li 2.34
Cl 0.6667 0.3333 0.9987  1 Li 2.34
Cl 0.7011 0.9950 0.3053  1 Li 2.39, 1 In 2.54
Cl 0.7061 0.7011 0.6947  1 Li 2.39, 1 In 2.54
Cl 0.9950 0.2939 0.6947  1 Li 2.39, 1 In 2.54

## Properties
Volume, Å³ per atom: 26.25
Raw formation energy, eV/atom: -1.42
Mass density, g cm⁻³: 2.635
DOS at the Fermi energy, states/eV/f.u.: 11.45

=====

Entry 5:
Density functional theory data (PBE-GGA) for crystalline LiTbIn2Cl6 at its relaxed geometry.

abc: 7.2592 7.4332 12.5774
angles: 90.00 124.94 90.00
Last column: nearest neighbours and their distance in Å.
Atoms (fractional coordinates):
Li 0.0000 0.0000 0.0000  6 Cl 2.61-2.66
Li 0.0000 0.5000 0.5000  6 Cl 2.61-2.66
Tb 0.5000 0.0000 0.5000  6 Cl 2.66
Tb 0.5000 0.5000 0.0000  6 Cl 2.66
In 0.2323 0.0586 0.7451  8 Cl 3.24-3.61
In 0.2323 0.4414 0.2451  8 Cl 3.24-3.61
In 0.7677 0.5586 0.7549  8 Cl 3.24-3.61
In 0.7677 0.9414 0.2549  8 Cl 3.24-3.61
Cl 0.1715 0.2096 0.4643  1 Li 2.66, 1 Tb 2.66
Cl 0.1715 0.2904 0.9643  1 Li 2.66, 1 Tb 2.66
Cl 0.2527 0.7111 0.4623  1 Li 2.66, 1 Tb 2.66
Cl 0.2527 0.7889 0.9623  1 Li 2.66, 1 Tb 2.66
Cl 0.3202 0.0140 0.2470  1 Li 2.61, 1 Tb 2.66
Cl 0.3202 0.4860 0.7470  1 Li 2.61, 1 Tb 2.66
Cl 0.6798 0.5140 0.2530  1 Li 2.61, 1 Tb 2.66
Cl 0.6798 0.9860 0.7530  1 Li 2.61, 1 Tb 2.66
Cl 0.7473 0.2111 0.0377  1 Li 2.66, 1 Tb 2.66
Cl 0.7473 0.2889 0.5377  1 Li 2.66, 1 Tb 2.66
Cl 0.8285 0.7096 0.0357  1 Li 2.66, 1 Tb 2.66
Cl 0.8285 0.7904 0.5357  1 Li 2.66, 1 Tb 2.66

## Properties
Volume, Å³ per atom: 27.82
Raw formation energy, eV/atom: -1.61
Mass density, g cm⁻³: 3.631
DOS at the Fermi energy, states/eV/f.u.: 0.00

=====

Entry 6:
Density functional theory data (PBE-GGA) for crystalline LiTiIn2Cl6 at its relaxed geometry.

abc: 7.0313 7.0344 7.0380
angles: 60.46 60.58 60.59
Last column: nearest neighbours and their distance in Å.
Atoms (fractional coordinates):
Li 0.0000 0.0000 0.0000  6 Cl 2.59-2.61
Ti 0.5006 0.5008 0.5008  6 Cl 2.43-2.44
In 0.2494 0.2483 0.2500  9 Cl 3.25-3.57
In 0.7479 0.7492 0.7475  9 Cl 3.25-3.61
Cl 0.2168 0.3011 0.7387  1 Ti 2.43, 1 Li 2.60
Cl 0.2624 0.7825 0.7027  1 Ti 2.44, 1 Li 2.59
Cl 0.3007 0.7444 0.2173  1 Ti 2.43, 1 Li 2.60
Cl 0.7006 0.2587 0.7848  1 Ti 2.43, 1 Li 2.59
Cl 0.7401 0.2196 0.2989  1 Ti 2.43, 1 Li 2.61
Cl 0.7849 0.7005 0.2642  1 Ti 2.43, 1 Li 2.59

## Properties
Volume, Å³ per atom: 24.92
Raw formation energy, eV/atom: -1.31
Mass density, g cm⁻³: 3.313
DOS at the Fermi energy, states/eV/f.u.: 7.39

=====

Calculated total energy values, unit Ha/atom, following the record order: -0.125 -0.133 -0.134 -0.123 -0.144 -0.145.